Entry 1:
This record from Alexandria via LeMat-Bulk describes a PBEsol-optimized structure of TaBeBr2. The functional is SCAN.

Geometry as extended XYZ:
```
4
Lattice="3.6896 0.0000 0.0000 0.0000 3.6896 0.0000 -1.8448 -1.8448 5.3521" Properties=species:S:1:pos:R:3 pbc="T T T"
Be 0.0000 1.8448 2.6760
Br 0.0000 0.0000 0.0000
Br 1.8448 0.0000 2.6760
Ta 1.8448 1.8448 0.0000
```

Output
Polymorph energy (0 for the lowest one) = 669 meV per atom
Total DFT energy (no corrections) = -26.36 eV/atom
Formation energy from raw total energies = 1105 meV per atom
Symmetry = No. 119
V = 72.86 Å³/f.u.


Entry 2:
This record from Alexandria via LeMat-Bulk describes a PBEsol-optimized structure of TaBe2Br. The functional is SCAN.

Geometry as extended XYZ:
```
4
Lattice="-0.4064 0.8200 -2.8053 -3.3506 -1.2255 0.1271 -1.6697 4.9000 3.2261" Properties=species:S:1:pos:R:3 pbc="T T T"
Be -0.2120 0.6012 0.2064
Be -3.6065 4.6965 0.3433
Br -1.3838 3.7572 -0.2532
Ta -2.3776 1.2123 -0.8532
```

Output
Polymorph energy (0 for the lowest one) = 0 meV per atom
Total DFT energy (no corrections) = -23.23 eV/atom
Formation energy from raw total energies = 453 meV per atom
Symmetry = No. 38
V = 62.35 Å³/f.u.


Entry 3:
This record from Alexandria via LeMat-Bulk describes a PBEsol-optimized structure of BeTcBr2. The functional is SCAN.

Geometry as extended XYZ:
```
4
Lattice="4.6952 0.0000 0.0000 2.3476 4.0661 0.0000 2.3476 1.3554 3.8336" Properties=species:S:1:pos:R:3 pbc="T T T"
Be 4.6952 2.7108 1.9168
Tc 2.3476 1.3554 0.9584
Br 0.0000 0.0000 0.0000
Br 7.0428 4.0661 2.8752
```

Output
Polymorph energy (0 for the lowest one) = 1234 meV per atom
Total DFT energy (no corrections) = -18.32 eV/atom
Formation energy from raw total energies = 1261 meV per atom
Symmetry = No. 216
V = 73.19 Å³/f.u.


Entry 4:
This record from Alexandria via LeMat-Bulk describes a PBEsol-optimized structure of Be2TcBr. The functional is SCAN.

Geometry as extended XYZ:
```
4
Lattice="3.4191 0.0000 0.0000 -1.7095 2.9616 0.1287 0.0000 -0.2686 5.6330" Properties=species:S:1:pos:R:3 pbc="T T T"
Be 0.0000 -0.0121 5.3652
Be 0.0000 1.9738 5.1804
Tc 1.7095 1.1965 0.8881
Br 0.0000 2.0934 2.9063
```

Output
Polymorph energy (0 for the lowest one) = 0 meV per atom
Total DFT energy (no corrections) = -15.57 eV/atom
Formation energy from raw total energies = 234 meV per atom
Symmetry = No. 8
V = 57.16 Å³/f.u.